*i*
Density functional theory data (PBE-GGA) for crystalline KRb2ScI6 at its relaxed geometry.

```
data_KRb2ScI6
_cell_length_a 12.4855
_cell_length_b 12.4855
_cell_length_c 12.4855
_cell_angle_alpha 90.00
_cell_angle_beta 90.00
_cell_angle_gamma 90.00
_space_group_name_H-M_alt 'F m -3 m'
_space_group_IT_number 225
_space_group_name_Hall '-F 4 2 3'
loop_
_atom_site_label
_atom_site_fract_x
_atom_site_fract_y
_atom_site_fract_z
K1 0.0000 0.0000 0.0000
Rb1 0.2500 0.2500 0.2500
Sc1 0.0000 0.0000 0.5000
I1 0.0000 0.0000 0.2686
```

size of the total moment: 0.0 μB/cell
density of states at the Fermi level: 0.00 states/eV per cell


*ii*
Density functional theory data (PBE-GGA) for crystalline KRb2ScI6 at its relaxed geometry.

```
data_KRb2ScI6
_cell_length_a 8.4344
_cell_length_b 12.5689
_cell_length_c 9.5935
_cell_angle_alpha 90.00
_cell_angle_beta 90.00
_cell_angle_gamma 90.00
_space_group_name_H-M_alt 'P m m n'
_space_group_IT_number 59
loop_
_space_group_symop_operation_xyz
'x,y,z'
'-x,-y,-z'
'-x+1/2,-y+1/2,z'
'x+1/2,y+1/2,-z'
'x+1/2,-y,-z'
'-x+1/2,y,z'
'-x,y+1/2,-z'
'x,-y+1/2,z'
loop_
_atom_site_label
_atom_site_fract_x
_atom_site_fract_y
_atom_site_fract_z
K1 0.2500 0.2500 0.1966
Rb1 0.2500 0.0494 0.6786
Sc1 0.2500 0.7500 0.2963
I1 0.0008 0.7500 0.0908
I2 0.0137 0.7500 0.5191
I3 0.2500 0.5187 0.2961
```

size of the total moment: 0.0 μB/cell
density of states at the Fermi level: 0.00 states/eV per cell


Energies relative to the most stable structure, in kJ/mol of atoms: *i* 1.6; *ii* 0.0.


*i*
Density functional theory data (PBE-GGA) for crystalline KRb2SnI6 at its relaxed geometry.

```
data_KRb2SnI6
_cell_length_a 8.5958
_cell_length_b 9.1682
_cell_length_c 14.9868
_cell_angle_alpha 90.00
_cell_angle_beta 124.44
_cell_angle_gamma 90.00
_space_group_name_H-M_alt 'P 1 21/c 1'
_space_group_IT_number 14
loop_
_space_group_symop_operation_xyz
'x,y,z'
'-x,-y,-z'
'-x,y+1/2,-z+1/2'
'x,-y+1/2,z+1/2'
loop_
_atom_site_label
_atom_site_fract_x
_atom_site_fract_y
_atom_site_fract_z
K1 0.0000 0.0000 0.0000
Rb1 0.2166 0.0855 0.7489
Sn1 0.5000 0.0000 0.5000
I1 0.1559 0.1771 0.4451
I2 0.2694 0.7176 0.4379
I3 0.3880 0.0367 0.2687
```

size of the total moment: 0.0 μB/cell
density of states at the Fermi level: 13.20 states/eV per cell


*ii*
Density functional theory data (PBE-GGA) for crystalline KRb2SnI6 at its relaxed geometry.

```
data_KRb2SnI6
_cell_length_a 12.7316
_cell_length_b 12.7316
_cell_length_c 12.7316
_cell_angle_alpha 90.00
_cell_angle_beta 90.00
_cell_angle_gamma 90.00
_space_group_name_H-M_alt 'F m -3 m'
_space_group_IT_number 225
_space_group_name_Hall '-F 4 2 3'
loop_
_atom_site_label
_atom_site_fract_x
_atom_site_fract_y
_atom_site_fract_z
K1 0.0000 0.0000 0.0000
Rb1 0.2500 0.2500 0.2500
Sn1 0.0000 0.0000 0.5000
I1 0.0000 0.0000 0.2635
```

size of the total moment: 0.0 μB/cell
density of states at the Fermi level: 19.65 states/eV per cell


Energies relative to the most stable structure, in kJ/mol of atoms: *i* 0.0; *ii* 5.3.


*i*
Density functional theory data (PBE-GGA) for crystalline KRb2TlI6 at its relaxed geometry.

```
data_KRb2TlI6
_cell_length_a 8.6678
_cell_length_b 9.2058
_cell_length_c 14.6654
_cell_angle_alpha 90.00
_cell_angle_beta 123.81
_cell_angle_gamma 90.00
_space_group_name_H-M_alt 'P 1 21/c 1'
_space_group_IT_number 14
loop_
_space_group_symop_operation_xyz
'x,y,z'
'-x,-y,-z'
'-x,y+1/2,-z+1/2'
'x,-y+1/2,z+1/2'
loop_
_atom_site_label
_atom_site_fract_x
_atom_site_fract_y
_atom_site_fract_z
K1 0.0000 0.0000 0.0000
Rb1 0.2091 0.0824 0.7432
Tl1 0.5000 0.0000 0.5000
I1 0.1634 0.1798 0.4488
I2 0.2620 0.7215 0.4326
I3 0.3939 0.0442 0.2680
```

size of the total moment: 0.0 μB/cell


*ii*
Density functional theory data (PBE-GGA) for crystalline KRb2TlI6 at its relaxed geometry.

```
data_KRb2TlI6
_cell_length_a 12.7213
_cell_length_b 12.7213
_cell_length_c 12.7213
_cell_angle_alpha 90.00
_cell_angle_beta 90.00
_cell_angle_gamma 90.00
_space_group_name_H-M_alt 'F m -3 m'
_space_group_IT_number 225
_space_group_name_Hall '-F 4 2 3'
loop_
_atom_site_label
_atom_site_fract_x
_atom_site_fract_y
_atom_site_fract_z
K1 0.0000 0.0000 0.0000
Rb1 0.2500 0.2500 0.2500
Tl1 0.0000 0.0000 0.5000
I1 0.0000 0.0000 0.2636
```

size of the total moment: 0.0 μB/cell
density of states at the Fermi level: 0.00 states/eV per cell


Energies relative to the most stable structure, in kJ/mol of atoms: *i* 0.0; *ii* 5.7.


*i*
Density functional theory data (PBE-GGA) for crystalline KRb2ZrI6 at its relaxed geometry.

```
data_KRb2ZrI6
_cell_length_a 8.4513
_cell_length_b 8.4513
_cell_length_c 50.5225
_cell_angle_alpha 90.00
_cell_angle_beta 90.00
_cell_angle_gamma 120.00
_space_group_name_H-M_alt 'R -3 m'
_space_group_IT_number 166
_space_group_name_Hall '-R 3 2"'
loop_
_atom_site_label
_atom_site_fract_x
_atom_site_fract_y
_atom_site_fract_z
K1 0.0000 0.0000 0.0837
Rb1 0.0000 0.0000 0.1889
Rb2 0.0000 0.0000 0.3565
Zr1 0.0000 0.0000 0.0000
Zr2 0.0000 0.0000 0.5000
I1 0.0037 0.5019 0.6330
I2 0.0082 0.5041 0.2006
```

size of the total moment: 6.0 μB/cell
density of states at the Fermi level: 36.53 states/eV per cell


*ii*
Density functional theory data (PBE-GGA) for crystalline KRb2ZrI6 at its relaxed geometry.

```
data_KRb2ZrI6
_cell_length_a 12.5407
_cell_length_b 12.5407
_cell_length_c 12.5407
_cell_angle_alpha 90.00
_cell_angle_beta 90.00
_cell_angle_gamma 90.00
_space_group_name_H-M_alt 'F m -3 m'
_space_group_IT_number 225
_space_group_name_Hall '-F 4 2 3'
loop_
_atom_site_label
_atom_site_fract_x
_atom_site_fract_y
_atom_site_fract_z
K1 0.0000 0.0000 0.0000
Rb1 0.2500 0.2500 0.2500
Zr1 0.0000 0.0000 0.5000
I1 0.0000 0.0000 0.2671
```

size of the total moment: 4.0 μB/cell
density of states at the Fermi level: 48.42 states/eV per cell


Energies relative to the most stable structure, in kJ/mol of atoms: *i* 0.0; *ii* 2.4.


*i*
Density functional theory data (PBE-GGA) for crystalline KRe2I at its relaxed geometry.

```
data_KRe2I
_cell_length_a 6.7371
_cell_length_b 6.7371
_cell_length_c 6.7371
_cell_angle_alpha 90.00
_cell_angle_beta 90.00
_cell_angle_gamma 90.00
_space_group_name_H-M_alt 'F m -3 m'
_space_group_IT_number 225
_space_group_name_Hall '-F 4 2 3'
loop_
_atom_site_label
_atom_site_fract_x
_atom_site_fract_y
_atom_site_fract_z
K1 0.0000 0.0000 0.0000
Re1 0.2500 0.2500 0.2500
I1 0.0000 0.0000 0.5000
```

size of the total moment: 0.0 μB/cell
density of states at the Fermi level: 23.70 states/eV per cell


*ii*
Density functional theory data (PBE-GGA) for crystalline KRe2I at its relaxed geometry.

```
data_KRe2I
_cell_length_a 4.2167
_cell_length_b 4.2167
_cell_length_c 22.4821
_cell_angle_alpha 90.00
_cell_angle_beta 90.00
_cell_angle_gamma 90.00
_space_group_name_H-M_alt 'I -4 2 d'
_space_group_IT_number 122
_space_group_name_Hall 'I -4 2bw'
loop_
_atom_site_label
_atom_site_fract_x
_atom_site_fract_y
_atom_site_fract_z
K1 0.0000 0.0000 0.0000
Re1 0.1487 0.7500 0.6250
I1 0.0000 0.0000 0.5000
```

size of the total moment: 0.0 μB/cell
density of states at the Fermi level: 19.99 states/eV per cell


Energies relative to the most stable structure, in kJ/mol of atoms: *i* 89.7; *ii* 0.0.